[1]
{
  "formula": "VCr2Ir2",
  "functional": "PBE",
  "state": "optimized geometry",
  "lattice_angstrom": [[7.165, 0.000, 0.000], [0.000, 7.165, 0.000], [0.000, 0.000, 2.685]],
  "species": ["V", "V", "Cr", "Cr", "Cr", "Cr", "Ir", "Ir", "Ir", "Ir"],
  "fractional_positions": [[0.000, 0.000, 0.000], [0.500, 0.500, 0.000], [0.118, 0.382, 0.000], [0.382, 0.882, 0.000], [0.618, 0.118, 0.000], [0.882, 0.618, 0.000], [0.176, 0.676, 0.500], [0.324, 0.176, 0.500], [0.676, 0.824, 0.500], [0.824, 0.324, 0.500]],
  "delta_e_f_ev_per_atom": -0.06,
  "spacegroup": "P4/mbm",
  "e_tot_ev_per_cell": -92.7,
  "m_tot_mub_per_atom": 0.000
}

[2]
{
  "formula": "K5Br",
  "functional": "PBE",
  "state": "optimized geometry",
  "lattice_angstrom": [[2.316, -11.399, 0.000], [2.316, 11.399, 0.000], [0.000, 0.000, 7.284]],
  "species": ["K", "K", "K", "K", "K", "Br"],
  "fractional_positions": [[0.000, 0.000, 0.000], [0.107, 0.893, 0.500], [0.327, 0.673, 0.000], [0.673, 0.327, 0.000], [0.893, 0.107, 0.500], [0.500, 0.500, 0.500]],
  "spacegroup": "Cmmm",
  "formation_energy_uncorrected_ev_per_fu": -2.7,
  "e_tot_ev_per_cell": -9.8,
  "m_tot_mub_per_atom": 0.000
}

What did the second record say?
{
  "formula": "K5Br",
  "functional": "PBE",
  "state": "optimized geometry",
  "lattice_angstrom": [[2.316, -11.399, 0.000], [2.316, 11.399, 0.000], [0.000, 0.000, 7.284]],
  "species": ["K", "K", "K", "K", "K", "Br"],
  "fractional_positions": [[0.000, 0.000, 0.000], [0.107, 0.893, 0.500], [0.327, 0.673, 0.000], [0.673, 0.327, 0.000], [0.893, 0.107, 0.500], [0.500, 0.500, 0.500]],
  "spacegroup": "Cmmm",
  "formation_energy_uncorrected_ev_per_fu": -2.7,
  "e_tot_ev_per_cell": -9.8,
  "m_tot_mub_per_atom": 0.000
}